Compound: YNiSbMo
Source: OQMD
Functional: PBE-GGA
Structure: relaxed

## Properties
E_tot = -6.672 eV per atom
Space-group type = No. 216
Theoretical density = 8.24 g cm⁻³

abc: 4.7046 4.7046 4.7046
angles: 60.00 60.00 60.00
Closest atoms and distances in Å follow each position.
Positions (direct):
Mo (0.2500, 0.2500, 0.2500)  4 Sb 2.88, 4 Y 2.88
Ni (0.7500, 0.7500, 0.7500)  4 Sb 2.88, 4 Y 2.88
Sb (0.0000, 0.0000, 0.0000)  4 Ni 2.88, 4 Mo 2.88
Y (0.5000, 0.5000, 0.5000)  4 Ni 2.88, 4 Mo 2.88